# Pr2Sm3In7 PBE optimized geometry
# * total DFT energy (no corrections): -91.529 eV for the cell shown
# * DFT formation energy: -239.9 meV/atom
# * volume: 30.590 Å³/atom
# * density of states at the Fermi level: 16.72 states/eV per cell
data_Pr2Sm3In7
_chemical_formula_sum 'Pr4 Sm6 In14'
_cell_length_a 5.252
_cell_length_b 25.574
_cell_length_c 5.466
_cell_angle_alpha 90.00
_cell_angle_beta 90.00
_cell_angle_gamma 90.00
_space_group_name_H-M_alt 'C m m m'
_space_group_IT_number 65
_space_group_name_Hall '-C 2 2'
loop_
_atom_site_label
_atom_site_fract_x
_atom_site_fract_y
_atom_site_fract_z
Pr1 0.000 0.145 0.000
Sm1 0.000 0.347 0.500
Sm2 0.000 0.500 0.500
In1 0.000 0.000 0.000
In2 0.000 0.075 0.500
In3 0.000 0.276 0.000
In4 0.000 0.429 0.000